Entry 1:
Density functional theory data (GGA-PBE) for an optimized crystal structure of Y3S4Cl.

Calculated values
- uncorrected energy (eV per atom) = -6.787
- SG = Cc
- formation energy without anion corrections (eV per atom) = -2.0683
- theoretical density (kg/m3) = 3302
- magnetization (μB/atom) = 0.00

Unit cell a=6.9265 b=7.7280 c=9.7207 alpha=109.09 beta=90.00 gamma=116.62
With the nearest neighbours (Å) after each atom.
Positions (direct):
Y (0.6755, 0.3678, 0.8821)  5 S 2.66-2.82, 1 Cl 2.77
Y (0.6924, 0.3678, 0.3821)  5 S 2.65-2.82, 1 Cl 2.77
Y (0.2818, 0.5752, 0.5814)  5 S 2.63-2.79, 1 Cl 2.88
Y (0.2934, 0.5752, 0.0814)  5 S 2.63-2.79, 1 Cl 2.88
Y (0.9306, 0.8380, 0.7983)  5 S 2.64-2.85, 1 Cl 2.79
Y (0.9074, 0.8380, 0.2983)  5 S 2.64-2.85, 1 Cl 2.79
S (0.2676, 0.2114, 0.9348)  3 Y 2.63-2.66
S (0.9438, 0.2114, 0.4348)  3 Y 2.63-2.65
S (0.5596, 0.4438, 0.6462)  4 Y 2.70-2.85
S (0.8842, 0.4438, 0.1462)  4 Y 2.70-2.85
S (0.1058, 0.6030, 0.8406)  4 Y 2.72-2.82
S (0.4972, 0.6030, 0.3406)  4 Y 2.72-2.82
S (0.0489, 0.7600, 0.5274)  4 Y 2.72-2.79
S (0.7111, 0.7600, 0.0274)  4 Y 2.72-2.79
Cl (0.6461, 0.9805, 0.7391)  3 Y 2.77-2.88
Cl (0.3345, 0.9805, 0.2391)  3 Y 2.77-2.88

***

Entry 2:
Density functional theory data (GGA-PBE) for an optimized crystal structure of MnTlTc4.

Calculated values
- uncorrected energy (eV per atom) = -8.294
- SG = F-43m
- theoretical density (kg/m3) = 10873
- magnetization (μB/atom) = 0.53

Unit cell a=5.2008 b=5.2008 c=5.2008 alpha=60.00 beta=60.00 gamma=60.00
With the nearest neighbours (Å) after each atom.
Positions (direct):
Mn (0.0000, 0.0000, 0.0000)  12 Tc 3.05, 4 Tl 3.18
Tl (0.7500, 0.7500, 0.7500)  12 Tc 3.05, 4 Mn 3.18
Tc (0.8762, 0.3746, 0.3746)  6 Tc 2.59-2.61
Tc (0.3746, 0.3746, 0.8762)  6 Tc 2.59-2.61
Tc (0.3746, 0.8762, 0.3746)  6 Tc 2.59-2.61
Tc (0.3746, 0.3746, 0.3746)  6 Tc 2.59-2.61

***

Entry 3:
Density functional theory data (GGA-PBE) for an optimized crystal structure of KMg14Cu.

Calculated values
- uncorrected energy (eV per atom) = -1.609
- SG = P-6m2
- theoretical density (kg/m3) = 1953
- excess energy over the best structure of this formula in the dataset (meV/atom) = 5.7
- magnetization (μB/atom) = 0.00

Unit cell a=6.4203 b=6.4203 c=10.5508 alpha=90.00 beta=90.00 gamma=120.00
With the nearest neighbours (Å) after each atom.
Positions (direct):
K (0.0000, 0.0000, 0.5000)  12 Mg 3.21-3.41
Mg (0.9907, 0.4954, 0.0000)  10 Mg 3.06-3.30, 2 Cu 3.21
Mg (0.0101, 0.5051, 0.5000)  10 Mg 3.11-3.41, 2 K 3.21
Mg (0.5046, 0.0093, 0.0000)  10 Mg 3.06-3.30, 2 Cu 3.21
Mg (0.4949, 0.9899, 0.5000)  10 Mg 3.11-3.41, 2 K 3.21
Mg (0.5046, 0.4954, 0.0000)  10 Mg 3.06-3.30, 2 Cu 3.21
Mg (0.4949, 0.5051, 0.5000)  10 Mg 3.11-3.41, 2 K 3.21
Mg (0.1650, 0.8350, 0.2281)  1 Cu 3.03, 8 Mg 3.06-3.24
Mg (0.1650, 0.8350, 0.7719)  1 Cu 3.03, 8 Mg 3.06-3.24
Mg (0.1650, 0.3299, 0.2281)  1 Cu 3.03, 8 Mg 3.06-3.24
Mg (0.1650, 0.3299, 0.7719)  1 Cu 3.03, 8 Mg 3.06-3.24
Mg (0.6701, 0.8350, 0.2281)  1 Cu 3.03, 8 Mg 3.06-3.24
Mg (0.6701, 0.8350, 0.7719)  1 Cu 3.03, 8 Mg 3.06-3.24
Mg (0.6667, 0.3333, 0.2596)  12 Mg 3.18-3.28
Mg (0.6667, 0.3333, 0.7404)  12 Mg 3.18-3.28
Cu (0.0000, 0.0000, 0.0000)  12 Mg 3.03-3.21

***

Entry 4:
Density functional theory data (GGA-PBE) for an optimized crystal structure of AcAlGaPd.

Calculated values
- uncorrected energy (eV per atom) = -4.703
- SG = R3m
- theoretical density (kg/m3) = 7665
- magnetization (μB/atom) = 0.00

Unit cell a=4.3427 b=4.3427 c=6.2319 alpha=69.61 beta=69.61 gamma=60.00
With the nearest neighbours (Å) after each atom.
Positions (direct):
Ac (0.8060, 0.8060, 0.5821)  4 Ga 3.29-3.57, 4 Al 3.36-3.46
Al (0.6037, 0.6037, 0.1890)  3 Pd 2.56, 3 Ga 2.84
Ga (0.0146, 0.0146, 0.9562)  3 Pd 2.63, 3 Al 2.84
Pd (0.3016, 0.3016, 0.0951)  3 Al 2.56, 3 Ga 2.63